1.
Rb2SmBiSe4: optimized geometry, GGA-PBE.

It has space group P2/m (No. 10), with a = 7.537 Å, b = 4.342 Å, c = 8.393 Å, α = 90.00°, β = 107.30° and γ = 90.00°. The inequivalent atoms are Rb at (0.000, 0.000, 0.000), Rb at (0.500, 0.500, 0.000), Sm at (0.000, 0.500, 0.500), Bi at (0.500, 0.000, 0.500), Se at (0.231, 0.000, 0.700) and Se at (0.264, 0.500, 0.299).

The value obtained for the raw formation energy is -1262.5 meV/atom. The spin magnetization is 0.00 μB/atom. The calculation puts the volume at 32.777 Å³/atom.

***

2.
TaBeGa3: optimized geometry, GGA-PBE.

It has space group Pm-3m (No. 221), with a = 4.350 Å, b = 4.350 Å, c = 4.350 Å, α = 90.00°, β = 90.00° and γ = 90.00°. The inequivalent atoms are Ta at (0.000, 0.000, 0.000), Be at (0.500, 0.500, 0.500) and Ga at (0.000, 0.500, 0.500).

The calculation puts the formation energy at 707 meV/atom. The offset from the most stable computed form comes out at 0.0000 eV/atom. The spin magnetization is 0.00 μB/atom. The calculation puts the volume at 16.463 Å³/atom.

***

3.
VZnCd2Ir: optimized geometry, GGA-PBE.

It has space group P4/mmm (No. 123), with a = 5.229 Å, b = 5.229 Å, c = 4.613 Å, α = 90.00°, β = 90.00° and γ = 90.00°. The inequivalent atoms are V at (0.000, 0.000, 0.000), Zn at (0.500, 0.500, 0.000), Cd at (0.000, 0.500, 0.500) and Ir at (0.000, 0.000, 0.500).

The calculation puts the formation energy at 612 meV/atom. The spin magnetization is 0.41 μB/atom. The calculation puts the volume at 25.225 Å³/atom.

***

4.
Zr2TaTc: optimized geometry, GGA-PBE.

It has space group P2/m (No. 10), with a = 3.057 Å, b = 4.611 Å, c = 5.534 Å, α = 90.00°, β = 102.60° and γ = 90.00°. The inequivalent atoms are Zr at (0.207, 0.000, 0.259), Ta at (0.500, 0.500, 0.000) and Tc at (0.000, 0.500, 0.500).

The calculation puts the formation energy at -18 meV/atom. The offset from the most stable computed form comes out at 0.1732 eV/atom. The spin magnetization is 0.00 μB/atom. The calculation puts the volume at 19.032 Å³/atom.

***

5.
CePu2GeN4: optimized geometry, GGA-PBE.

It has space group Cmcm (No. 63), with a = 3.506 Å, b = 13.770 Å, c = 10.448 Å, α = 90.00°, β = 90.00° and γ = 90.00°. The inequivalent atoms are Ce at (0.000, 0.085, 0.250), Pu at (0.000, 0.391, 0.068), Ge at (0.000, 0.231, 0.750), N at (0.000, 0.000, 0.000), N at (0.000, 0.327, 0.618) and N at (0.000, 0.469, 0.250).

The value obtained for the raw formation energy is -904.0 meV/atom. The spin magnetization is 1.11 μB/atom. The calculation puts the volume at 15.765 Å³/atom.

***

6.
NdMgPb6: optimized geometry, GGA-PBE.

It has space group P4/mmm (No. 123), with a = 7.024 Å, b = 7.024 Å, c = 4.760 Å, α = 90.00°, β = 90.00° and γ = 90.00°. The inequivalent atoms are Nd at (0.000, 0.000, 0.000), Mg at (0.500, 0.500, 0.000), Pb at (0.000, 0.500, 0.000) and Pb at (0.261, 0.261, 0.500).

The calculation puts the formation energy at -175 meV/atom. The spin magnetization is 0.00 μB/atom. The calculation puts the volume at 29.352 Å³/atom.

***

7.
Hf6Pd2Rh: optimized geometry, GGA-PBE.

It has space group P2_1/c (No. 14), with a = 5.564 Å, b = 7.276 Å, c = 10.522 Å, α = 90.00°, β = 120.98° and γ = 90.00°. The inequivalent atoms are Hf at (0.071, 0.064, 0.241), Hf at (0.210, 0.736, 0.067), Hf at (0.378, 0.149, 0.039), Pd at (0.328, 0.094, 0.713) and Rh at (0.500, 0.000, 0.500).

The calculation puts the formation energy at -369 meV/atom. The spin magnetization is 0.00 μB/atom. The calculation puts the volume at 20.289 Å³/atom.

***

8.
SrIn3Ge: optimized geometry, GGA-PBE.

It has space group Pm-3m (No. 221), with a = 5.495 Å, b = 5.495 Å, c = 5.495 Å, α = 90.00°, β = 90.00° and γ = 90.00°. The inequivalent atoms are Sr at (0.000, 0.000, 0.000), In at (0.000, 0.500, 0.500) and Ge at (0.500, 0.500, 0.500).

The calculation puts the formation energy at 57 meV/atom. The offset from the most stable computed form comes out at 0.2615 eV/atom. The spin magnetization is 0.00 μB/atom. The calculation puts the volume at 33.187 Å³/atom.